{
  "formula": "Li4Y3ZrS8",
  "functional": "PBE",
  "state": "relaxed",
  "spacegroup": "R-3m (166)",
  "mass_density_g_cm3": 3.4,
  "dos_ef_per_ev_cell": 4.1,
  "energy_ev_per_atom": -6.035,
  "lattice_angstrom": [[-6.849, -1.122, 3.287], [1.426, -7.466, 0.423], [4.924, 5.063, 3.015]],
  "species": ["S", "S", "S", "S", "S", "S", "S", "S", "Zr", "Li", "Li", "Li", "Li", "Y", "Y", "Y"],
  "frac_coords": [[0.762, 0.750, 0.006], [0.752, 0.755, 0.504], [0.248, 0.245, 0.496], [0.244, 0.750, 0.006], [0.756, 0.250, 0.511], [0.238, 0.250, 0.994], [0.244, 0.750, 0.489], [0.756, 0.250, 0.994], [0.000, 0.500, 0.000], [0.500, 0.000, 0.500], [0.500, 0.000, 0.000], [0.000, 0.000, 0.500], [0.000, 0.000, 0.000], [0.500, 0.500, 0.500], [0.500, 0.500, 0.000], [0.000, 0.500, 0.500]]
}